(1)
A PBEsol-optimized structure of TiNb3Au. Source: Alexandria via LeMat-Bulk, functional meta-GGA SCAN.

Unit cell a=4.889 b=4.889 c=4.889 alpha=90.00 beta=90.00 gamma=90.00
Fractional coordinates of all 5 atoms:
Au 0.000 0.000 0.000
Nb 0.500 0.000 0.000
Nb 0.000 0.000 0.500
Nb 0.000 0.500 0.000
Ti 0.500 0.500 0.500

Values from the calculation:
mass density = 7.44 g cm⁻³
total magnetization = 0.2993 μB/atom
D(E_F) = 6.54 states/eV/cell


(2)
A PBEsol-optimized structure of TiNb3Au. Source: Alexandria via LeMat-Bulk, functional meta-GGA SCAN.

Unit cell a=4.589 b=4.589 c=4.589 alpha=90.00 beta=90.00 gamma=90.00
Fractional coordinates of all 5 atoms:
Au 0.500 0.500 0.500
Nb 0.000 0.000 0.500
Nb 0.500 0.000 0.000
Nb 0.000 0.500 0.000
Ti 0.000 0.000 0.000

Values from the calculation:
mass density = 9.00 g cm⁻³
total magnetization = 0.0000 μB/atom
D(E_F) = 5.94 states/eV/cell


Least stable of them? (1).